Material: ZnFeO2
Method: DFT, PBE+U
State: relaxed

Unit cell a=3.028 b=7.771 c=8.225 alpha=100.81 beta=99.73 gamma=94.65
Sites, in units of the cell vectors:
1 Zn 0.000 0.000 0.000
2 Zn 0.064 0.986 0.659
3 Zn 0.249 0.273 0.848
4 Zn 0.627 0.270 0.534
5 Fe 0.102 0.365 0.216
6 Fe 0.448 0.909 0.324
7 Fe 0.659 0.631 0.944
8 Fe 0.972 0.621 0.596
9 O 0.048 0.091 0.422
10 O 0.132 0.777 0.853
11 O 0.162 0.489 0.014
12 O 0.477 0.466 0.710
13 O 0.489 0.815 0.530
14 O 0.577 0.173 0.063
15 O 0.694 0.440 0.382
16 O 0.856 0.824 0.167

Values from the calculation:
As for the density: 5.47 Mg/m³. As for the relative energy among the computed polymorphs: 0.83 eV per formula unit. For the magnetic moment, the calculation gives 4.50 μB/f.u. The space group is No. 1.